Record 1
{"formula": "TlCd2HgPd", "functional": "GGA-PBE", "state": "optimized geometry", "formation_energy_kj_per_mol_atoms": -0.7, "polymorph_energy_ev_per_atom": 0.020, "cell": [[5.2350, 0.0000, 0.0000], [0.0000, 5.2350, 0.0000], [0.0000, 0.0000, 5.2884]], "species": ["Tl", "Cd", "Cd", "Hg", "Pd"], "fractional_positions": [[0.0000, 0.0000, 0.0000], [0.0000, 0.5000, 0.5000], [0.5000, 0.0000, 0.5000], [0.5000, 0.5000, 0.0000], [0.5000, 0.5000, 0.5000]]}

***

Record 2
{"formula": "ZnTcNiW", "functional": "GGA-PBE", "state": "optimized geometry", "formation_energy_kj_per_mol_atoms": 8.5, "cell": [[0.0000, 3.0385, 3.0385], [3.0385, 0.0000, 3.0385], [3.0385, 3.0385, 0.0000]], "species": ["Zn", "Tc", "Ni", "W"], "fractional_positions": [[0.0000, 0.0000, 0.0000], [0.2500, 0.2500, 0.2500], [0.7500, 0.7500, 0.7500], [0.5000, 0.5000, 0.5000]]}

***

Record 3
{"formula": "LiVAg2", "functional": "GGA-PBE", "state": "optimized geometry", "formation_energy_kj_per_mol_atoms": 26.6, "polymorph_energy_ev_per_atom": 0.000, "cell": [[0.0000, 3.2230, 3.2230], [3.2230, 0.0000, 3.2230], [3.2230, 3.2230, 0.0000]], "species": ["Li", "V", "Ag", "Ag"], "fractional_positions": [[0.0000, 0.0000, 0.0000], [0.5000, 0.5000, 0.5000], [0.2500, 0.2500, 0.2500], [0.7500, 0.7500, 0.7500]]}

***

Record 4
{"formula": "Cu4Ag3F12", "functional": "GGA-PBE", "state": "optimized geometry", "formation_energy_uncorrected_mev_per_atom": -1350, "cell": [[-3.9659, 3.9659, 3.9659], [3.9659, -3.9659, 3.9659], [3.9659, 3.9659, -3.9659]], "species": ["Cu", "Cu", "Cu", "Cu", "Ag", "Ag", "Ag", "F", "F", "F", "F", "F", "F", "F", "F", "F", "F", "F", "F"], "fractional_positions": [[0.0000, 0.0000, 0.5000], [0.0000, 0.5000, 0.0000], [0.5000, 0.0000, 0.0000], [0.5000, 0.5000, 0.5000], [0.0000, 0.5000, 0.5000], [0.5000, 0.0000, 0.5000], [0.5000, 0.5000, 0.0000], [0.0793, 0.2919, 0.7874], [0.2126, 0.5045, 0.2919], [0.2126, 0.9207, 0.7081], [0.2919, 0.2126, 0.5045], [0.2919, 0.7874, 0.0793], [0.4955, 0.7081, 0.7874], [0.5045, 0.2919, 0.2126], [0.7081, 0.2126, 0.9207], [0.7081, 0.7874, 0.4955], [0.7874, 0.0793, 0.2919], [0.7874, 0.4955, 0.7081], [0.9207, 0.7081, 0.2126]]}

***

Record 5
{"formula": "MgSbPtF2", "functional": "GGA-PBE", "state": "optimized geometry", "formation_energy_uncorrected_mev_per_atom": -1257, "cell": [[4.2834, 0.0000, 0.0000], [0.0000, 4.2834, 0.0000], [0.0000, 0.0000, 5.2454]], "species": ["Mg", "Sb", "Pt", "F", "F"], "fractional_positions": [[0.0000, 0.0000, 0.0000], [0.5000, 0.5000, 0.5000], [0.5000, 0.5000, 0.0000], [0.0000, 0.5000, 0.5000], [0.5000, 0.0000, 0.5000]]}

***

Record 6
{"formula": "CuReNi2", "functional": "GGA-PBE", "state": "optimized geometry", "formation_energy_kj_per_mol_atoms": 22.4, "polymorph_energy_ev_per_atom": 0.244, "cell": [[-1.3985, 2.1269, 4.0902], [1.3985, -2.1269, 4.0902], [1.3985, 2.1269, -4.0902]], "species": ["Cu", "Re", "Ni", "Ni"], "fractional_positions": [[0.0000, 0.0000, 0.0000], [0.5000, 0.5000, 0.0000], [0.2432, 0.7432, 0.5000], [0.7568, 0.2568, 0.5000]]}

***

The N(E_F) results, record by record, are as follows: 2.14, 4.51, 6.48, 11.30, 1.26, 3.33 states/eV/f.u..